{"formula": "CoPtRh2", "functional": "GGA-PBE", "state": "relaxed", "e_form_mev_per_atom": 239, "total_energy_ev_per_atom": -6.723, "space_group": "F-43m", "lattice": [[6.113, 0.000, 0.000], [0.000, 6.113, 0.000], [0.000, 0.000, 6.113]], "species": ["Co", "Co", "Co", "Co", "Pt", "Pt", "Pt", "Pt", "Rh", "Rh", "Rh", "Rh", "Rh", "Rh", "Rh", "Rh"], "frac_coords": [[0.000, 0.000, 0.000], [0.000, 0.500, 0.500], [0.500, 0.000, 0.500], [0.500, 0.500, 0.000], [0.250, 0.250, 0.750], [0.250, 0.750, 0.250], [0.750, 0.250, 0.250], [0.750, 0.750, 0.750], [0.000, 0.000, 0.500], [0.000, 0.500, 0.000], [0.250, 0.250, 0.250], [0.250, 0.750, 0.750], [0.500, 0.000, 0.000], [0.500, 0.500, 0.500], [0.750, 0.250, 0.750], [0.750, 0.750, 0.250]]}

---

{"formula": "HfPbO3", "functional": "GGA-PBE", "state": "relaxed", "total_energy_ev_per_atom": -7.988, "space_group": "Pnma", "lattice": [[5.951, 0.000, 0.000], [0.000, 10.598, 0.000], [0.000, 0.000, 5.607]], "species": ["Hf", "Hf", "Hf", "Hf", "Pb", "Pb", "Pb", "Pb", "O", "O", "O", "O", "O", "O", "O", "O", "O", "O", "O", "O"], "frac_coords": [[0.038, 0.250, 0.031], [0.462, 0.750, 0.531], [0.538, 0.250, 0.469], [0.962, 0.750, 0.969], [0.000, 0.000, 0.500], [0.000, 0.500, 0.500], [0.500, 0.000, 0.000], [0.500, 0.500, 0.000], [0.151, 0.104, 0.865], [0.151, 0.396, 0.865], [0.220, 0.250, 0.328], [0.280, 0.750, 0.828], [0.349, 0.604, 0.365], [0.349, 0.896, 0.365], [0.651, 0.104, 0.635], [0.651, 0.396, 0.635], [0.720, 0.250, 0.172], [0.780, 0.750, 0.672], [0.849, 0.604, 0.135], [0.849, 0.896, 0.135]]}